No. 1
A relaxed CsV4O7 crystal. Source: the Alexandria database, functional GGA+U.

## Properties
**Total energy**: -7.340 eV per atom

Cell: 14.3388 5.7743 5.3536 Å, 90.00 90.00 90.00°
Atoms (fractional coordinates):
Cs: 0.0000 0.1787 0.0000
Cs: 0.5000 0.8213 0.5000
V: 0.1195 0.6846 0.4801
V: 0.2482 0.1773 0.4729
V: 0.2518 0.8227 0.9729
V: 0.3805 0.3154 0.9801
V: 0.6195 0.3154 0.9801
V: 0.7482 0.8227 0.9729
V: 0.7518 0.1773 0.4729
V: 0.8805 0.6846 0.4801
O: 0.0000 0.7752 0.3989
O: 0.1386 0.7447 0.8152
O: 0.1459 0.3772 0.4252
O: 0.2119 0.8827 0.3178
O: 0.2881 0.1173 0.8178
O: 0.3541 0.6228 0.9252
O: 0.3614 0.2553 0.3152
O: 0.5000 0.2248 0.8989
O: 0.6386 0.2553 0.3152
O: 0.6459 0.6228 0.9252
O: 0.7119 0.1173 0.8178
O: 0.7881 0.8827 0.3178
O: 0.8541 0.3772 0.4252
O: 0.8614 0.7447 0.8152


No. 2
A relaxed Cs4VO4 crystal. Source: the Alexandria database, functional GGA+U.

## Properties
**Total energy**: -5.008 eV per atom

Cell: 7.7787 7.7787 9.5510 Å, 90.00 90.00 90.00°
Atoms (fractional coordinates):
Cs: 0.0141 0.2500 0.0625
Cs: 0.2500 0.0141 0.5625
Cs: 0.2500 0.4859 0.5625
Cs: 0.4859 0.2500 0.0625
Cs: 0.5141 0.7500 0.9375
Cs: 0.7500 0.5141 0.4375
Cs: 0.7500 0.9859 0.4375
Cs: 0.9859 0.7500 0.9375
V: 0.2500 0.7500 0.2500
V: 0.7500 0.2500 0.7500
O: 0.0683 0.7500 0.3602
O: 0.2500 0.5683 0.1398
O: 0.2500 0.9317 0.1398
O: 0.4317 0.7500 0.3602
O: 0.5683 0.2500 0.6398
O: 0.7500 0.0683 0.8602
O: 0.7500 0.4317 0.8602
O: 0.9317 0.2500 0.6398


No. 3
A relaxed CsVO2 crystal. Source: the Alexandria database, functional GGA+U.

## Properties
**Total energy**: -6.020 eV per atom

Cell: 5.2357 5.3065 5.5757 Å, 90.00 90.43 90.00°
Atoms (fractional coordinates):
Cs: 0.0000 0.0000 0.0000
Cs: 0.5000 0.5000 0.0000
V: 0.0000 0.5018 0.5000
V: 0.5000 0.0018 0.5000
O: 0.2493 0.2444 0.5736
O: 0.2507 0.7444 0.4264
O: 0.7493 0.7444 0.5736
O: 0.7507 0.2444 0.4264


No. 4
A relaxed CsV2O2 crystal. Source: the Alexandria database, functional GGA+U.

## Properties
**Total energy**: -5.724 eV per atom

Cell: 3.3897 3.3897 13.5882 Å, 90.00 90.00 90.00°
Atoms (fractional coordinates):
Cs: 0.0000 0.0000 0.0000
Cs: 0.5000 0.5000 0.5000
V: 0.0000 0.5000 0.2500
V: 0.0000 0.5000 0.7500
V: 0.5000 0.0000 0.2500
V: 0.5000 0.0000 0.7500
O: 0.0000 0.0000 0.3476
O: 0.0000 0.0000 0.6524
O: 0.5000 0.5000 0.1524
O: 0.5000 0.5000 0.8476